Record 1
A relaxed structure of Ce2NdZr. Source: the Alexandria database, functional PBE.

a b c (Å): 3.3038 3.3038 10.3129
angles (deg): 90.00 90.00 90.00
Last column: nearest neighbours and their distance in Å.
Space group P4/mmm (No. 123)
Symmetry-distinct sites (fractional):
Ce1 0.0000 0.0000 0.2336 x2  4 Ce 3.30, 4 Zr 3.36, 4 Nd 3.61
Nd1 0.5000 0.5000 0.5000 x1  4 Nd 3.30, 8 Ce 3.61
Zr1 0.5000 0.5000 0.0000 x1  4 Zr 3.30, 8 Ce 3.36

Values from the calculation:
- polymorph energy (0 for the lowest one) (eV/f.u.) = 0.000
- ΔE_f (eV per atom) = 0.129

---

Record 2
A relaxed structure of Pr2Zn3InPt4. Source: the Alexandria database, functional PBE.

a b c (Å): 4.2471 4.2471 11.1552
angles (deg): 90.00 90.00 90.00
Last column: nearest neighbours and their distance in Å.
Space group P-4m2 (No. 115)
Symmetry-distinct sites (fractional):
Pr1 0.0000 0.5000 0.2366 x2  6 Zn 3.24-3.63, 8 Pt 3.26-3.39, 2 In 3.63
Zn1 0.0000 0.5000 0.8730 x2  5 Pt 2.49-2.55
Zn2 0.5000 0.5000 0.5000 x1  4 Pt 2.70, 4 In 3.00
In1 0.0000 0.0000 0.5000 x1  4 Pt 2.70, 4 Zn 3.00
Pt1 0.0000 0.0000 0.0000 x1  4 Zn 2.55
Pt2 0.0000 0.5000 0.6500 x2  3 Zn 2.49-2.70, 2 In 2.70
Pt3 0.5000 0.5000 0.0000 x1  4 Zn 2.55

Values from the calculation:
- ΔE_f (eV per atom) = -0.753

---

Record 3
A relaxed structure of Cs2RbSe. Source: the Alexandria database, functional PBE.

a b c (Å): 9.3613 9.3613 9.3613
angles (deg): 90.00 90.00 90.00
Last column: nearest neighbours and their distance in Å.
Space group Fm-3m (No. 225)
Symmetry-distinct sites (fractional):
Cs1 0.2500 0.2500 0.2500 x8  4 Se 4.05, 4 Rb 4.05
Rb1 0.0000 0.0000 0.0000 x4  8 Cs 4.05
Se1 0.0000 0.0000 0.5000 x4  8 Cs 4.05

Values from the calculation:
- polymorph energy (0 for the lowest one) (eV/f.u.) = 1.079

---

Record 4
A relaxed structure of Sc2TaTe. Source: the Alexandria database, functional PBE.

a b c (Å): 4.2382 4.2382 9.3606
angles (deg): 90.00 90.00 90.00
Last column: nearest neighbours and their distance in Å.
Space group I-4m2 (No. 119)
Symmetry-distinct sites (fractional):
Sc1 0.0000 0.0000 0.0000 x2  4 Te 3.00, 4 Ta 3.16, 4 Sc 3.16
Sc2 0.0000 0.5000 0.2500 x2  4 Ta 3.00, 4 Te 3.16, 4 Sc 3.16
Ta1 0.0000 0.5000 0.7500 x2  8 Sc 3.00-3.16, 4 Te 3.16
Te1 0.0000 0.0000 0.5000 x2  8 Sc 3.00-3.16, 4 Ta 3.16

Values from the calculation:
- polymorph energy (0 for the lowest one) (eV/f.u.) = 0.781

---

| no. | V (Å³ per cell) | total magnetic moment (μB per formula unit) |
| --- | --- | --- |
| 1 | 113 | 0.01 |
| 2 | 201 | 0.00 |
| 3 | 820 | 0.63 |
| 4 | 168 | 0.00 |